Record 1
# CsGa (PBE-GGA, relaxed)
data_CsGa
_cell_length_a 10.401
_cell_length_b 10.401
_cell_length_c 10.401
_cell_angle_alpha 90.00
_cell_angle_beta 90.00
_cell_angle_gamma 90.00
_symmetry_space_group_name_H-M 'P m -3 n'
_symmetry_Int_Tables_number 223
_symmetry_space_group_name_Hall '-P 4n 2 3'
loop_
_atom_site_label
_atom_site_type_symbol
_atom_site_fract_x
_atom_site_fract_y
_atom_site_fract_z
_atom_site_occupancy
Cs1 Cs 0.000 0.250 0.500 1
Ga1 Ga 0.000 0.500 0.250 1
# Formation enthalpy at 0 K (kcal/mol of atoms): 17.9
# ΔE to the lowest computed polymorph (eV/atom): 0.8317
# Calculated total energy (eV/atom): -1.16



Record 2
# CsGa (PBE-GGA, relaxed)
data_CsGa
_cell_length_a 13.476
_cell_length_b 13.476
_cell_length_c 4.669
_cell_angle_alpha 90.00
_cell_angle_beta 90.00
_cell_angle_gamma 90.00
_symmetry_space_group_name_H-M 'P 4/m'
_symmetry_Int_Tables_number 83
_symmetry_space_group_name_Hall '-P 4'
loop_
_atom_site_label
_atom_site_type_symbol
_atom_site_fract_x
_atom_site_fract_y
_atom_site_fract_z
_atom_site_occupancy
Cs1 Cs 0.029 0.760 0.000 1
Cs2 Cs 0.304 0.348 0.500 1
Ga1 Ga 0.086 0.551 0.500 1
Ga2 Ga 0.105 0.471 0.000 1
# Formation enthalpy at 0 K (kcal/mol of atoms): -0.4
# ΔE to the lowest computed polymorph (eV/atom): 0.0409
# Calculated total energy (eV/atom): -1.96



- Among the records above, which one has the lowest ΔE to the lowest computed polymorph?
  number 2



- Which of these has the lowest calculated total energy?
  number 2



- Which value of ΔE to the lowest computed polymorph does entry 2 give?
  0.0409 eV/atom



- Which value of formation enthalpy at 0 K does entry 2 give?
  -0.4 kcal/mol of atoms